Entry from the Alexandria database: NbV5 after structural relaxation (PBE).

ΔE_f = 32 meV/atom
distance to the lowest polymorph of the same formula = 1 meV per atom
space-group type = C2/m, No. 12
DFT total energy = -110.946 eV for the cell shown

Geometry as POSCAR:
```
NbV5
1.0
9.6315 0.0000 0.0000
0.0000 3.0545 0.0000
-1.8576 0.0000 5.8489
Nb V
2 10
Direct
0.0000 0.0000 0.0000
0.5000 0.5000 0.0000
0.0000 0.0000 0.5000
0.1681 0.5000 0.8249
0.1742 0.5000 0.3456
0.3258 0.0000 0.6544
0.3319 0.0000 0.1751
0.5000 0.5000 0.5000
0.6681 0.0000 0.8249
0.6742 0.0000 0.3456
0.8258 0.5000 0.6544
0.8319 0.5000 0.1751
```

Entry from the Alexandria database: NbV after structural relaxation (PBE).

ΔE_f = 228 meV/atom
distance to the lowest polymorph of the same formula = 184 meV per atom
space-group type = I4/mmm, No. 139
DFT total energy = -149.854 eV for the cell shown

Geometry as POSCAR:
```
NbV
1.0
9.3649 0.0000 0.0000
0.0000 9.3649 0.0000
0.0000 0.0000 3.0147
Nb V
8 8
Direct
0.1532 0.1532 0.0000
0.1532 0.8468 0.0000
0.3468 0.3468 0.5000
0.3468 0.6532 0.5000
0.6532 0.3468 0.5000
0.6532 0.6532 0.5000
0.8468 0.1532 0.0000
0.8468 0.8468 0.0000
0.0000 0.3418 0.5000
0.0000 0.6582 0.5000
0.1582 0.5000 0.0000
0.3418 0.0000 0.5000
0.5000 0.1582 0.0000
0.5000 0.8418 0.0000
0.6582 0.0000 0.5000
0.8418 0.5000 0.0000
```

Entry from the Alexandria database: NbV after structural relaxation (PBE).

ΔE_f = 1570 meV/atom
distance to the lowest polymorph of the same formula = 1526 meV per atom
space-group type = P6_3/mmc, No. 194
DFT total energy = -32.098 eV for the cell shown

Geometry as POSCAR:
```
NbV
1.0
4.3914 0.0000 0.0000
-2.1957 3.8031 0.0000
0.0000 0.0000 5.0575
Nb V
2 2
Direct
0.3333 0.6667 0.2500
0.6667 0.3333 0.7500
0.3333 0.6667 0.7500
0.6667 0.3333 0.2500
```

Entry from the Alexandria database: Nb3VW4 after structural relaxation (PBE).

ΔE_f = -37 meV/atom
space-group type = P4/mmm, No. 123
DFT total energy = -91.433 eV for the cell shown

Geometry as POSCAR:
```
Nb3VW4
1.0
3.2108 0.0000 0.0000
0.0000 3.2108 0.0000
0.0000 0.0000 12.8067
Nb V W
3 1 4
Direct
0.0000 0.0000 0.0000
0.0000 0.0000 0.2549
0.0000 0.0000 0.7451
0.0000 0.0000 0.5000
0.5000 0.5000 0.1279
0.5000 0.5000 0.3831
0.5000 0.5000 0.6169
0.5000 0.5000 0.8721
```

Entry from the Alexandria database: Nb6VW3 after structural relaxation (PBE).

ΔE_f = -14 meV/atom
space-group type = P2_1/m, No. 11
DFT total energy = -217.072 eV for the cell shown

Geometry as POSCAR:
```
Nb6VW3
1.0
7.9631 0.0000 0.0000
0.0000 4.6046 0.0000
-2.6355 0.0000 9.3422
Nb V W
12 2 6
Direct
0.0480 0.2500 0.3998
0.1479 0.7500 0.1974
0.2519 0.2500 0.9973
0.3493 0.7500 0.8032
0.3515 0.2500 0.2959
0.4478 0.2500 0.6020
0.5522 0.7500 0.3980
0.6485 0.7500 0.7041
0.6507 0.2500 0.1968
0.7481 0.7500 0.0027
0.8521 0.2500 0.8026
0.9520 0.7500 0.6002
0.4511 0.7500 0.0949
0.5489 0.2500 0.9051
0.0518 0.7500 0.9012
0.1520 0.2500 0.7012
0.2504 0.7500 0.4997
0.7496 0.2500 0.5003
0.8480 0.7500 0.2988
0.9482 0.2500 0.0988
```

Entry from the Alexandria database: NbVW2 after structural relaxation (PBE).

ΔE_f = 802 meV/atom
distance to the lowest polymorph of the same formula = 851 meV per atom
space-group type = I-42d, No. 122
DFT total energy = -167.546 eV for the cell shown

Geometry as POSCAR:
```
NbVW2
1.0
3.7059 0.0000 0.0000
0.0000 3.7059 0.0000
0.0000 0.0000 20.2147
Nb V W
4 4 8
Direct
0.0000 0.0000 0.0000
0.0000 0.5000 0.2500
0.5000 0.0000 0.7500
0.5000 0.5000 0.5000
0.0000 0.0000 0.5000
0.0000 0.5000 0.7500
0.5000 0.0000 0.2500
0.5000 0.5000 0.0000
0.2463 0.2500 0.6250
0.2500 0.7463 0.8750
0.2500 0.7537 0.3750
0.2537 0.2500 0.1250
0.7463 0.7500 0.1250
0.7500 0.2463 0.3750
0.7500 0.2537 0.8750
0.7537 0.7500 0.6250
```

What is the DFT total energy in the third record? -32.098 eV for the cell shown

The highest DFT total energy belongs to which entry? number 3

Which of these has the lowest ΔE_f? Nb3VW4